Below is a crystal of MnBe2Pt relaxed with PBEsol, with properties calculated at the SCAN level.

Calculated values
Density   10.50 g/cm3
E above lowest polymorph   11.8 kJ/mol of atoms
Crystal system   orthorhombic

abc: 2.7163 3.6465 4.4912
angles: 90.00 107.60 90.00
Last column: nearest neighbours and their distance in Å.
Positions (direct):
Pt 0.4022 0.5000 0.8043  7 Be 2.33-2.39
Mn 0.0943 0.0000 0.1886  7 Be 2.34-2.38
Be 0.8174 0.0000 0.6347  2 Be 2.19, 3 Mn 2.34-2.37, 4 Pt 2.39
Be 0.6749 0.5000 0.3497  2 Be 2.19, 3 Pt 2.33-2.37, 4 Mn 2.38